BPdS2Cl | SCAN | single point on PBEsol structure

Calculated values
Formation energy (no corrections) = 1.13 eV/atom
Total energy = -12.3565 eV per atom
Theoretical density = 3.6 g/cm3

Lattice parameters (Å, degrees): 4.589 4.589 4.806 90.00 90.00 90.00
Sites, in units of the cell vectors:
B  0.500  0.500  0.500
Pd  0.000  0.000  0.000
S  0.000  0.500  0.000
S  0.500  0.000  0.000
Cl  0.000  0.000  0.500

CrNiPt | SCAN | single point on PBEsol structure

Calculated values
Formation enthalpy at 0 K = -5.1 kcal/mol of atoms
Total energy = -35.1364 eV per atom
Theoretical density = 13.9 g/cm3

Lattice parameters (Å, degrees): 2.612 3.606 4.465 113.81 107.01 90.00
Sites, in units of the cell vectors:
Cr  0.005  0.005  0.010
Pt  0.334  0.334  0.669
Ni  0.661  0.661  0.322

MoOsBr2 | SCAN | single point on PBEsol structure

Calculated values
ΔE to the lowest computed polymorph = 0.494 eV per atom
Formation energy (no corrections) = 0.51 eV/atom
Total energy = -35.9062 eV per atom
Theoretical density = 8.3 g/cm3

Lattice parameters (Å, degrees): 3.139 4.160 7.022 95.19 102.91 90.00
Sites, in units of the cell vectors:
Os  0.500  0.000  0.000
Br  0.348  0.285  0.697
Br  0.652  0.715  0.303
Mo  0.000  0.500  0.000

TeRu2Pt | SCAN | single point on PBEsol structure

Calculated values
Formation energy (no corrections) = 0.37 eV/atom
Total energy = -43.9032 eV per atom
Theoretical density = 13.5 g/cm3

Lattice parameters (Å, degrees): 2.869 2.869 7.861 90.00 90.00 90.00
Sites, in units of the cell vectors:
Pt  0.500  0.500  0.779
Ru  0.000  0.000  0.016
Ru  0.500  0.500  0.222
Te  0.000  0.000  0.483

Li2SbW | SCAN | single point on PBEsol structure

Calculated values
Formation energy (no corrections) = 0.30 eV/atom
Total energy = -27.6290 eV per atom
Theoretical density = 7.9 g/cm3

Lattice parameters (Å, degrees): 3.063 4.481 5.583 113.54 105.92 90.00
Sites, in units of the cell vectors:
Sb  0.500  0.000  0.000
Li  0.247  0.247  0.493
Li  0.753  0.753  0.507
W  0.000  0.500  0.000

YZnCl2 | SCAN | single point on PBEsol structure

Calculated values
ΔE to the lowest computed polymorph = 0.037 eV per atom
Formation energy (no corrections) = -1.04 eV/atom
Total energy = -15.3659 eV per atom
Theoretical density = 4.7 g/cm3

Lattice parameters (Å, degrees): 4.132 4.390 4.390 90.00 90.00 90.00
Sites, in units of the cell vectors:
Cl  0.000  0.500  0.000
Cl  0.000  0.000  0.500
Y  0.500  0.500  0.500
Zn  0.500  0.000  0.000

SrCoIr2 | SCAN | single point on PBEsol structure

Calculated values
ΔE to the lowest computed polymorph = 0.893 eV per atom
Formation enthalpy at 0 K = 14.7 kcal/mol of atoms
Total energy = -44.8063 eV per atom
Theoretical density = 13.7 g/cm3

Lattice parameters (Å, degrees): 2.758 5.026 5.026 112.72 90.00 90.00
Sites, in units of the cell vectors:
Sr  0.500  0.000  0.000
Ir  0.000  0.000  0.500
Ir  0.000  0.500  0.000
Co  0.500  0.500  0.500

TiAs3N | SCAN | single point on PBEsol structure

Calculated values
Formation energy (no corrections) = 0.46 eV/atom
Total energy = -16.7230 eV per atom
Theoretical density = 6.3 g/cm3

Lattice parameters (Å, degrees): 4.238 4.238 4.238 90.00 90.00 90.00
Sites, in units of the cell vectors:
As  0.000  0.000  0.500
As  0.500  0.000  0.000
As  0.000  0.500  0.000
N  0.000  0.000  0.000
Ti  0.500  0.500  0.500